A:
First-principles (GGA-PBE) data for MgRhN2F after structural relaxation, as listed in Alexandria.

Cell lengths 3.7900, 3.7900, 4.6699 Å; angles 90.00, 90.00, 90.00 degrees
Space group P4/mmm (No. 123)
Unique sites:
1 Mg 0.0000 0.0000 0.0000
2 Rh 0.5000 0.5000 0.5000
3 N 0.0000 0.5000 0.5000
4 F 0.5000 0.5000 0.0000

---

B:
First-principles (GGA-PBE) data for MgRhN2F after structural relaxation, as listed in Alexandria.

Cell lengths 4.0476, 4.0476, 3.5602 Å; angles 90.00, 90.00, 90.00 degrees
Space group P4/mmm (No. 123)
Unique sites:
1 Mg 0.0000 0.0000 0.0000
2 Rh 0.5000 0.5000 0.5000
3 N 0.0000 0.5000 0.0000
4 F 0.0000 0.0000 0.5000

---

A is the most stable structure; the next one sits 555 meV per atom above it.